(1)
Entry from Alexandria via LeMat-Bulk: crystalline Ti2C at its relaxed geometry (PBE-GGA).

Computed properties:
ΔH_f (0 K): -0.331 eV per atom
Space-group type: No. 139
Calculated total energy: -52.0 eV for the cell shown

abc: 3.719 3.719 5.310
angles: 90.00 90.00 90.00
Each line ends with the local moment (μB).
Element x y z (fractional)
Ti1 0.500 0.000 0.750  0.07
Ti2 0.000 0.500 0.250  0.07
Ti3 0.000 0.500 0.750  0.07
Ti4 0.500 0.000 0.250  0.07
C1 0.000 0.000 0.000  0.00
C2 0.500 0.500 0.500  0.00

=====

(2)
Entry from Alexandria via LeMat-Bulk: crystalline PdAuSe4 at its relaxed geometry (PBE-GGA).

Computed properties:
Uncorrected formation energy: -0.129 eV per atom
Space-group type: No. 12
Calculated total energy: -23.2 eV for the cell shown

abc: 3.817 6.287 6.825
angles: 123.15 90.00 107.67
Element x y z (fractional)
Pd1 0.500 0.000 0.500
Se1 0.654 0.308 0.955
Se2 0.346 0.692 0.045
Se3 0.874 0.747 0.547
Se4 0.126 0.253 0.453
Au1 0.000 0.000 0.000

=====

(3)
Entry from Alexandria via LeMat-Bulk: crystalline TlTe3S7 at its relaxed geometry (PBE-GGA).

Computed properties:
Uncorrected formation energy: 0.194 eV per atom
Space-group type: No. 12
Calculated total energy: -38.5 eV for the cell shown

abc: 6.555 8.976 8.976
angles: 136.75 83.50 83.50
Element x y z (fractional)
S1 0.746 0.041 0.467
S2 0.746 0.467 0.041
S3 0.922 0.876 0.876
S4 0.078 0.124 0.124
S5 0.000 0.500 0.500
S6 0.254 0.959 0.533
S7 0.254 0.533 0.959
Te1 0.500 0.000 0.000
Te2 0.000 0.706 0.294
Te3 0.000 0.294 0.706
Tl1 0.500 0.500 0.500

=====

(4)
Entry from Alexandria via LeMat-Bulk: crystalline LuNbAlMo at its relaxed geometry (PBE-GGA).

Computed properties:
ΔH_f (0 K): -0.061 eV per atom
Space-group type: No. 216
Calculated total energy: -29.4 eV for the cell shown

abc: 4.730 4.730 4.730
angles: 60.00 60.00 60.00
Element x y z (fractional)
Lu1 0.500 0.500 0.500
Al1 0.250 0.250 0.250
Nb1 0.000 0.000 0.000
Mo1 0.750 0.750 0.750

=====

(5)
Entry from Alexandria via LeMat-Bulk: crystalline DyZrPb at its relaxed geometry (PBE-GGA).

Computed properties:
ΔH_f (0 K): -0.160 eV per atom
Space-group type: No. 107
Energy relative to the lowest polymorph listed for this composition: 240 meV per atom
Calculated total energy: -17.3 eV for the cell shown

abc: 3.916 3.916 5.752
angles: 109.90 109.90 90.00
Element x y z (fractional)
Zr1 0.274 0.274 0.549
Dy1 0.952 0.952 0.903
Pb1 0.624 0.624 0.248

=====

(6)
Entry from Alexandria via LeMat-Bulk: crystalline Cs2SeI2F4 at its relaxed geometry (PBE-GGA).

Computed properties:
Uncorrected formation energy: -1.722 eV per atom
Space-group type: No. 139
Calculated total energy: -31.3 eV for the cell shown

abc: 7.059 7.059 7.059
angles: 100.09 114.36 114.36
Element x y z (fractional)
Se1 0.000 0.000 0.000
F1 0.363 0.182 0.182
F2 0.000 0.818 0.182
F3 0.637 0.818 0.818
F4 0.000 0.182 0.818
I1 0.000 0.323 0.323
I2 0.000 0.677 0.677
Cs1 0.500 0.250 0.750
Cs2 0.500 0.750 0.250

=====

(7)
Entry from Alexandria via LeMat-Bulk: crystalline Hf2ZrSi at its relaxed geometry (PBE-GGA).

Computed properties:
Uncorrected formation energy: -0.435 eV per atom
Space-group type: No. 5
Calculated total energy: -142.5 eV for the cell shown

abc: 6.956 9.129 5.577
angles: 90.00 113.64 90.00
Element x y z (fractional)
Si1 0.658 0.200 0.829
Si2 0.658 0.700 0.329
Si3 0.342 0.700 0.671
Si4 0.342 0.200 0.171
Hf1 0.500 0.451 0.500
Hf2 0.777 0.701 0.888
Hf3 0.000 0.020 0.000
Hf4 0.223 0.701 0.112
Hf5 0.000 0.520 0.500
Hf6 0.500 0.951 0.000
Hf7 0.223 0.201 0.612
Hf8 0.777 0.201 0.388
Zr1 0.000 0.881 0.500
Zr2 0.000 0.381 0.000
Zr3 0.500 0.951 0.500
Zr4 0.500 0.451 0.000

=====

(8)
Entry from Alexandria via LeMat-Bulk: crystalline InTc2Rh at its relaxed geometry (PBE-GGA).

Computed properties:
ΔH_f (0 K): 0.253 eV per atom
Space-group type: No. 65
Calculated total energy: -29.8 eV for the cell shown

abc: 5.030 5.030 2.832
angles: 90.00 90.00 117.63
Element x y z (fractional)
Rh1 0.000 0.500 0.500
In1 0.500 0.000 0.500
Tc1 0.500 0.500 0.000
Tc2 0.000 0.000 0.000